# PmBeCu4 PBE relaxed
# polymorph energy (0 for the lowest one) = 0.000 eV/atom
# SG = Pmma, No. 51
# E_form = -89.0 meV per atom
# E = -4.23 eV/atom
# crystal system = orthorhombic
# total magnetization = 0.00 μB per atom
data_PmBeCu4
_chemical_formula_sum 'Pm2 Be2 Cu8'
_cell_length_a 7.278
_cell_length_b 3.658
_cell_length_c 6.665
_cell_angle_alpha 90.00
_cell_angle_beta 90.00
_cell_angle_gamma 90.00
_symmetry_space_group_name_H-M 'P 1'
_symmetry_Int_Tables_number 1
_symmetry_space_group_name_Hall 'P 1'
loop_
_atom_site_label
_atom_site_type_symbol
_atom_site_fract_x
_atom_site_fract_y
_atom_site_fract_z
Pm1 Pm 0.250 0.000 0.105
Pm2 Pm 0.750 0.000 0.895
Be1 Be 0.250 0.000 0.684
Be2 Be 0.750 0.000 0.316
Cu1 Cu 0.000 0.000 0.500
Cu2 Cu 0.066 0.500 0.786
Cu3 Cu 0.250 0.500 0.464
Cu4 Cu 0.434 0.500 0.786
Cu5 Cu 0.500 0.000 0.500
Cu6 Cu 0.566 0.500 0.214
Cu7 Cu 0.750 0.500 0.536
Cu8 Cu 0.934 0.500 0.214

=====

# PmBe4Cu8 PBE relaxed
# SG = I4/mmm, No. 139
# E_form = -113.1 meV per atom
# E = -4.15 eV/atom
# crystal system = tetragonal
# total magnetization = 0.00 μB per atom
data_PmBe4Cu8
_chemical_formula_sum 'Pm1 Be4 Cu8'
_cell_length_a 6.290
_cell_length_b 6.290
_cell_length_c 6.290
_cell_angle_alpha 97.71
_cell_angle_beta 97.71
_cell_angle_gamma 137.02
_symmetry_space_group_name_H-M 'P 1'
_symmetry_Int_Tables_number 1
_symmetry_space_group_name_Hall 'P 1'
loop_
_atom_site_label
_atom_site_type_symbol
_atom_site_fract_x
_atom_site_fract_y
_atom_site_fract_z
Pm1 Pm 0.000 0.000 0.000
Be1 Be 0.000 0.000 0.500
Be2 Be 0.000 0.500 0.000
Be3 Be 0.500 0.000 0.000
Be4 Be 0.500 0.500 0.500
Cu1 Cu 0.000 0.351 0.351
Cu2 Cu 0.000 0.649 0.649
Cu3 Cu 0.274 0.500 0.774
Cu4 Cu 0.351 0.000 0.351
Cu5 Cu 0.500 0.274 0.774
Cu6 Cu 0.500 0.726 0.226
Cu7 Cu 0.649 0.000 0.649
Cu8 Cu 0.726 0.500 0.226

=====

# PmBe2Cu4 PBE relaxed
# SG = C2/m, No. 12
# E_form = -63.3 meV per atom
# E = -4.15 eV/atom
# crystal system = monoclinic
# total magnetization = 0.00 μB per atom
data_PmBe2Cu4
_chemical_formula_sum 'Pm1 Be2 Cu4'
_cell_length_a 5.051
_cell_length_b 5.051
_cell_length_c 4.854
_cell_angle_alpha 118.37
_cell_angle_beta 118.37
_cell_angle_gamma 76.69
_symmetry_space_group_name_H-M 'P 1'
_symmetry_Int_Tables_number 1
_symmetry_space_group_name_Hall 'P 1'
loop_
_atom_site_label
_atom_site_type_symbol
_atom_site_fract_x
_atom_site_fract_y
_atom_site_fract_z
Pm1 Pm 0.000 0.000 0.000
Be1 Be 0.500 0.500 0.250
Be2 Be 0.500 0.500 0.750
Cu1 Cu 0.001 0.612 0.306
Cu2 Cu 0.388 0.999 0.694
Cu3 Cu 0.612 0.001 0.306
Cu4 Cu 0.999 0.388 0.694

=====

# PmBeCu3 PBE relaxed
# polymorph energy (0 for the lowest one) = 0.011 eV/atom
# SG = P6_3/mmc, No. 194
# E_form = -53.5 meV per atom
# E = -4.21 eV/atom
# crystal system = hexagonal
# total magnetization = 0.00 μB per atom
data_PmBeCu3
_chemical_formula_sum 'Pm4 Be4 Cu12'
_cell_length_a 5.943
_cell_length_b 5.943
_cell_length_c 10.291
_cell_angle_alpha 90.00
_cell_angle_beta 90.00
_cell_angle_gamma 120.00
_symmetry_space_group_name_H-M 'P 1'
_symmetry_Int_Tables_number 1
_symmetry_space_group_name_Hall 'P 1'
loop_
_atom_site_label
_atom_site_type_symbol
_atom_site_fract_x
_atom_site_fract_y
_atom_site_fract_z
Pm1 Pm 0.000 0.000 0.000
Pm2 Pm 0.000 0.000 0.500
Pm3 Pm 0.333 0.667 0.250
Pm4 Pm 0.667 0.333 0.750
Be1 Be 0.333 0.667 0.642
Be2 Be 0.333 0.667 0.858
Be3 Be 0.667 0.333 0.142
Be4 Be 0.667 0.333 0.358
Cu1 Cu 0.000 0.500 0.000
Cu2 Cu 0.000 0.500 0.500
Cu3 Cu 0.143 0.286 0.750
Cu4 Cu 0.143 0.857 0.750
Cu5 Cu 0.286 0.143 0.250
Cu6 Cu 0.500 0.000 0.000
Cu7 Cu 0.500 0.000 0.500
Cu8 Cu 0.500 0.500 0.000
Cu9 Cu 0.500 0.500 0.500
Cu10 Cu 0.714 0.857 0.750
Cu11 Cu 0.857 0.143 0.250
Cu12 Cu 0.857 0.714 0.250

=====

# PmBe5Cu7 PBE relaxed
# SG = Imm2, No. 44
# E_form = -100.6 meV per atom
# E = -4.10 eV/atom
# crystal system = orthorhombic
# total magnetization = 0.00 μB per atom
data_PmBe5Cu7
_chemical_formula_sum 'Pm1 Be5 Cu7'
_cell_length_a 6.260
_cell_length_b 6.260
_cell_length_c 6.260
_cell_angle_alpha 137.64
_cell_angle_beta 97.31
_cell_angle_gamma 97.69
_symmetry_space_group_name_H-M 'P 1'
_symmetry_Int_Tables_number 1
_symmetry_space_group_name_Hall 'P 1'
loop_
_atom_site_label
_atom_site_type_symbol
_atom_site_fract_x
_atom_site_fract_y
_atom_site_fract_z
Pm1 Pm 0.000 0.000 0.000
Be1 Be 0.500 0.496 0.505
Be2 Be 0.500 0.995 0.003
Be3 Be 0.755 0.255 0.500
Be4 Be 0.992 0.496 0.997
Be5 Be 0.992 0.995 0.495
Cu1 Cu 0.213 0.492 0.721
Cu2 Cu 0.227 0.727 0.500
Cu3 Cu 0.354 0.354 0.000
Cu4 Cu 0.355 0.002 0.353
Cu5 Cu 0.649 0.002 0.647
Cu6 Cu 0.651 0.651 0.000
Cu7 Cu 0.771 0.492 0.279

=====

# PmBeCu3 PBE relaxed
# polymorph energy (0 for the lowest one) = 0.046 eV/atom
# SG = Pm-3m, No. 221
# E_form = -18.7 meV per atom
# E = -4.17 eV/atom
# crystal system = cubic
# total magnetization = 0.00 μB per atom
data_PmBeCu3
_chemical_formula_sum 'Pm1 Be1 Cu3'
_cell_length_a 4.303
_cell_length_b 4.303
_cell_length_c 4.303
_cell_angle_alpha 90.00
_cell_angle_beta 90.00
_cell_angle_gamma 90.00
_symmetry_space_group_name_H-M 'P 1'
_symmetry_Int_Tables_number 1
_symmetry_space_group_name_Hall 'P 1'
loop_
_atom_site_label
_atom_site_type_symbol
_atom_site_fract_x
_atom_site_fract_y
_atom_site_fract_z
Pm1 Pm 0.000 0.000 0.000
Be1 Be 0.500 0.500 0.500
Cu1 Cu 0.000 0.500 0.500
Cu2 Cu 0.500 0.000 0.500
Cu3 Cu 0.500 0.500 0.000

=====

# Pm2BeCu PBE relaxed
# polymorph energy (0 for the lowest one) = 0.000 eV/atom
# SG = P4/mmm, No. 123
# E_form = 4.8 meV per atom
# E = -4.33 eV/atom
# crystal system = tetragonal
# total magnetization = 0.00 μB per atom
data_Pm2BeCu
_chemical_formula_sum 'Pm2 Be1 Cu1'
_cell_length_a 3.540
_cell_length_b 3.540
_cell_length_c 7.042
_cell_angle_alpha 90.00
_cell_angle_beta 90.00
_cell_angle_gamma 90.00
_symmetry_space_group_name_H-M 'P 1'
_symmetry_Int_Tables_number 1
_symmetry_space_group_name_Hall 'P 1'
loop_
_atom_site_label
_atom_site_type_symbol
_atom_site_fract_x
_atom_site_fract_y
_atom_site_fract_z
Pm1 Pm 0.000 0.000 0.243
Pm2 Pm 0.000 0.000 0.757
Be1 Be 0.500 0.500 0.000
Cu1 Cu 0.500 0.500 0.500

=====

# Pm2BeCu PBE relaxed
# polymorph energy (0 for the lowest one) = 0.018 eV/atom
# SG = Fm-3m, No. 225
# E_form = 22.4 meV per atom
# E = -4.31 eV/atom
# crystal system = cubic
# total magnetization = 0.00 μB per atom
data_Pm2BeCu
_chemical_formula_sum 'Pm2 Be1 Cu1'
_cell_length_a 5.012
_cell_length_b 5.012
_cell_length_c 5.012
_cell_angle_alpha 60.00
_cell_angle_beta 60.00
_cell_angle_gamma 60.00
_symmetry_space_group_name_H-M 'P 1'
_symmetry_Int_Tables_number 1
_symmetry_space_group_name_Hall 'P 1'
loop_
_atom_site_label
_atom_site_type_symbol
_atom_site_fract_x
_atom_site_fract_y
_atom_site_fract_z
Pm1 Pm 0.250 0.250 0.250
Pm2 Pm 0.750 0.750 0.750
Be1 Be 0.000 0.000 0.000
Cu1 Cu 0.500 0.500 0.500

=====

# Pm2Be15Cu2 PBE relaxed
# SG = R-3m, No. 166
# E_form = -94.5 meV per atom
# E = -3.97 eV/atom
# crystal system = trigonal
# total magnetization = 0.00 μB per atom
data_Pm2Be15Cu2
_chemical_formula_sum 'Pm2 Be15 Cu2'
_cell_length_a 5.993
_cell_length_b 5.993
_cell_length_c 5.993
_cell_angle_alpha 82.79
_cell_angle_beta 82.79
_cell_angle_gamma 82.79
_symmetry_space_group_name_H-M 'P 1'
_symmetry_Int_Tables_number 1
_symmetry_space_group_name_Hall 'P 1'
loop_
_atom_site_label
_atom_site_type_symbol
_atom_site_fract_x
_atom_site_fract_y
_atom_site_fract_z
Pm1 Pm 0.155 0.155 0.155
Pm2 Pm 0.845 0.845 0.845
Be1 Be 0.000 0.500 0.500
Be2 Be 0.168 0.168 0.654
Be3 Be 0.168 0.654 0.168
Be4 Be 0.226 0.500 0.774
Be5 Be 0.226 0.774 0.500
Be6 Be 0.346 0.832 0.832
Be7 Be 0.500 0.000 0.500
Be8 Be 0.500 0.226 0.774
Be9 Be 0.500 0.500 0.000
Be10 Be 0.500 0.774 0.226
Be11 Be 0.654 0.168 0.168
Be12 Be 0.774 0.226 0.500
Be13 Be 0.774 0.500 0.226
Be14 Be 0.832 0.346 0.832
Be15 Be 0.832 0.832 0.346
Cu1 Cu 0.397 0.397 0.397
Cu2 Cu 0.603 0.603 0.603

=====

# PmBe2Cu3 PBE relaxed
# polymorph energy (0 for the lowest one) = 0.250 eV/atom
# SG = R-3m, No. 166
# E_form = 91.4 meV per atom
# E = -3.99 eV/atom
# crystal system = trigonal
# total magnetization = 0.00 μB per atom
data_PmBe2Cu3
_chemical_formula_sum 'Pm2 Be4 Cu6'
_cell_length_a 8.701
_cell_length_b 8.701
_cell_length_c 8.701
_cell_angle_alpha 33.36
_cell_angle_beta 33.36
_cell_angle_gamma 33.36
_symmetry_space_group_name_H-M 'P 1'
_symmetry_Int_Tables_number 1
_symmetry_space_group_name_Hall 'P 1'
loop_
_atom_site_label
_atom_site_type_symbol
_atom_site_fract_x
_atom_site_fract_y
_atom_site_fract_z
Pm1 Pm 0.200 0.200 0.200
Pm2 Pm 0.800 0.800 0.800
Be1 Be 0.000 0.000 0.000
Be2 Be 0.000 0.500 0.500
Be3 Be 0.500 0.000 0.500
Be4 Be 0.500 0.500 0.000
Cu1 Cu 0.240 0.240 0.742
Cu2 Cu 0.240 0.742 0.240
Cu3 Cu 0.258 0.760 0.760
Cu4 Cu 0.742 0.240 0.240
Cu5 Cu 0.760 0.258 0.760
Cu6 Cu 0.760 0.760 0.258

=====

# PmBeCu3 PBE relaxed
# polymorph energy (0 for the lowest one) = 0.000 eV/atom
# SG = P6_3/mmc, No. 194
# E_form = -64.4 meV per atom
# E = -4.22 eV/atom
# crystal system = hexagonal
# total magnetization = 0.00 μB per atom
data_PmBeCu3
_chemical_formula_sum 'Pm2 Be2 Cu6'
_cell_length_a 5.975
_cell_length_b 5.975
_cell_length_c 5.035
_cell_angle_alpha 90.00
_cell_angle_beta 90.00
_cell_angle_gamma 120.00
_symmetry_space_group_name_H-M 'P 1'
_symmetry_Int_Tables_number 1
_symmetry_space_group_name_Hall 'P 1'
loop_
_atom_site_label
_atom_site_type_symbol
_atom_site_fract_x
_atom_site_fract_y
_atom_site_fract_z
Pm1 Pm 0.333 0.667 0.250
Pm2 Pm 0.667 0.333 0.750
Be1 Be 0.000 0.000 0.000
Be2 Be 0.000 0.000 0.500
Cu1 Cu 0.186 0.372 0.750
Cu2 Cu 0.186 0.814 0.750
Cu3 Cu 0.372 0.186 0.250
Cu4 Cu 0.628 0.814 0.750
Cu5 Cu 0.814 0.186 0.250
Cu6 Cu 0.814 0.628 0.250